First-principles (meta-GGA SCAN) data for Cd2SiNi at its PBEsol-relaxed geometry, as listed in Alexandria via LeMat-Bulk.

Energy relative to the elements, uncorrected: 1.65 eV/f.u.
Size of the total moment: 0.000 μB/cell
E_tot: -21.3420 eV/atom

abc: 4.512 4.512 4.512
angles: 60.00 60.00 60.00
Fractional coordinates of all 4 atoms:
Cd 0.000 0.000 0.000
Cd 0.250 0.250 0.250
Si 0.750 0.750 0.750
Ni 0.500 0.500 0.500